TmBe2Si2Tc, optimized geometry, DFT GGA-PBE; volume = 83.8 Å³ per cell; ΔE_f (raw) = -39 kJ/mol of atoms; M_tot = 0.0 μB/f.u.; density = 6758 kg/m³; SG = No. 164
1.0
-2.860 2.054 -1.759
-0.650 -1.679 3.501
1.973 5.193 2.857
Tm Be Si Tc
1 2 2 1
Direct
0.000 0.000 0.000
0.667 0.333 0.675
0.333 0.667 0.325
0.667 0.333 0.286
0.333 0.667 0.714
0.000 0.000 0.500